1.
The following is a DFT calculation (PBE) of a relaxed LiSn2Pd crystal.

Geometry as POSCAR:
```
LiSn2Pd
1.0
-2.911 -1.931 2.004
3.017 -1.778 2.670
-0.396 3.431 2.732
Sn Li Pd
2 1 1
direct
0.000 0.500 0.000
0.000 0.000 0.500
0.500 0.500 0.500
0.500 0.000 0.000
```

Properties
Space group: P4/mmm (123)
Calculated total energy: -4.12 eV per atom
ΔH_f (0 K): -339 meV per atom

---

2.
The following is a DFT calculation (PBE) of a relaxed LiSnPd2 crystal.

Geometry as POSCAR:
```
LiSnPd2
1.0
4.005 0.000 0.000
0.000 4.005 0.000
2.002 2.002 8.918
Pd Li Sn
4 2 2
direct
0.875 0.861 0.750
0.139 0.625 0.250
0.375 0.389 0.750
0.611 0.125 0.250
0.250 0.750 0.500
0.500 0.500 0.000
0.750 0.250 0.500
0.000 0.000 0.000
```

Properties
Space group: I-42d (122)
Calculated total energy: -4.33 eV per atom
ΔH_f (0 K): -255 meV per atom